1.
BaHfCl2 | PBE | optimized geometry

Results
The calculation puts the formation energy from raw total energies at -0.482 eV per atom. The magnetization comes out at 0.0000 μB per atom. For the offset from the most stable computed form, the calculation gives 272.9 meV per atom.

The structure in POSCAR format:
```
BaHfCl2
1.0
0.0000 3.7653 3.7653
3.7653 0.0000 3.7653
3.7653 3.7653 0.0000
Hf Ba Cl
1 1 2
Cartesian
3.7653 3.7653 3.7653
0.0000 0.0000 0.0000
1.8826 1.8826 1.8826
5.6479 5.6479 5.6479
```



2.
BaHfHgCl2 | PBE | optimized geometry

Results
The calculation puts the formation energy from raw total energies at -0.105 eV per atom. The magnetization comes out at 0.4000 μB per atom.

The structure in POSCAR format:
```
BaHfHgCl2
1.0
-1.1806 4.7552 -3.1713
-2.3760 -4.1431 -5.3279
-5.3771 0.1740 2.2626
Cl Hf Hg Ba
2 1 1 1
Cartesian
-2.6885 0.0870 1.1313
-0.5903 2.3776 -1.5856
-4.4668 0.3930 -3.1183
-1.1880 -2.0716 -2.6639
0.0000 0.0000 0.0000
```



> Among the records above, which one has the lowest magnetization?

BaHfCl2